Entry P
VASP calculation (PBE) on a geometry-optimized BeSnBi3 structure.

Properties
Total magnetic moment   0.0 μB per formula unit

Geometry as POSCAR:
```
BeSnBi3
1.0
-4.720 0.059 2.177
2.100 -1.252 4.587
0.576 5.045 1.113
Be Bi Sn
1 3 1
Cartesian
0.000 0.000 0.000
1.050 -0.626 2.294
0.288 2.522 0.557
-2.360 0.029 1.089
-1.022 1.926 3.939
```


Entry Q
VASP calculation (PBE) on a geometry-optimized BeSnBi3 structure.

Properties
Total magnetic moment   0.0 μB per formula unit

Geometry as POSCAR:
```
BeSnBi3
1.0
5.825 0.000 0.000
0.000 5.825 0.000
0.000 0.000 5.825
Be Bi Sn
1 3 1
Cartesian
2.913 2.913 2.913
0.000 2.913 0.000
0.000 0.000 2.913
2.913 0.000 0.000
0.000 0.000 0.000
```


Q: Which of them is the least stable? A: entry Q.


Entry P
VASP calculation (PBE) on a geometry-optimized BeSn2Bi structure.

Properties
Total magnetic moment   0.0 μB per formula unit

Geometry as POSCAR:
```
BeSn2Bi
1.0
-1.438 5.879 -0.024
-1.472 -0.383 -5.858
-7.638 1.243 -1.289
Be Bi Sn
2 2 4
Cartesian
-1.455 2.748 -2.941
-5.282 1.804 -5.044
0.000 0.000 0.000
-5.265 4.935 -2.127
-2.876 3.462 -1.067
-3.125 1.282 -3.989
-6.938 2.962 -3.646
-8.155 5.772 -5.639
```


Entry Q
VASP calculation (PBE) on a geometry-optimized BeSn2Bi structure.

Properties
Total magnetic moment   0.0 μB per formula unit

Geometry as POSCAR:
```
BeSn2Bi
1.0
2.448 0.435 4.614
3.019 4.171 0.983
-1.563 3.608 3.466
Be Bi Sn
1 1 2
Cartesian
0.000 0.000 0.000
1.952 4.107 4.532
0.976 2.053 2.266
2.928 6.160 6.798
```


Q: Which of them is the least stable? A: entry Q.


Entry P
VASP calculation (PBE) on a geometry-optimized SrBe2Bi2 structure.

Properties
Total magnetic moment   0.0 μB per formula unit

Geometry as POSCAR:
```
SrBe2Bi2
1.0
8.429 0.000 0.000
0.000 8.429 0.000
0.000 0.000 3.761
Sr Bi Be
2 4 4
Cartesian
0.000 0.000 0.000
4.215 4.215 0.000
3.026 7.241 0.000
7.241 5.403 0.000
5.403 1.188 0.000
1.188 3.026 0.000
0.799 5.013 1.881
5.013 7.630 1.881
7.630 3.416 1.881
3.416 0.799 1.881
```


Entry Q
VASP calculation (PBE) on a geometry-optimized SrBe2Bi2 structure.

Properties
Total magnetic moment   0.0 μB per formula unit

Geometry as POSCAR:
```
SrBe2Bi2
1.0
-0.333 1.557 -3.867
-0.456 -3.869 -1.519
-7.527 -0.638 -1.870
Sr Bi Be
1 2 2
Cartesian
0.000 0.000 0.000
-2.376 -1.012 -2.464
-5.940 -1.938 -4.792
-4.127 -0.118 -4.215
-4.189 -2.831 -3.041
```


Q: Which of them is the least stable? A: entry P.


Entry P
VASP calculation (PBE) on a geometry-optimized TaBeBi3 structure.

Properties
Total magnetic moment   0.0 μB per formula unit

Geometry as POSCAR:
```
TaBeBi3
1.0
5.018 0.000 0.000
0.000 5.018 0.000
0.000 0.000 5.018
Be Bi Ta
1 3 1
Cartesian
0.000 0.000 0.000
0.000 2.509 0.000
0.000 0.000 2.509
2.509 0.000 0.000
2.509 2.509 2.509
```


Entry Q
VASP calculation (PBE) on a geometry-optimized TaBeBi3 structure.

Properties
Total magnetic moment   0.0 μB per formula unit

Geometry as POSCAR:
```
TaBeBi3
1.0
-1.872 -1.998 -4.762
3.764 -3.996 0.197
-3.536 -3.196 2.731
Be Bi Ta
1 3 1
Cartesian
-0.822 -4.595 -0.917
1.882 -1.998 0.098
-1.768 -1.598 1.365
-0.936 -0.999 -2.381
0.000 0.000 0.000
```


Q: Which of them is the least stable? A: entry P.


Entry P
VASP calculation (PBE) on a geometry-optimized TaBe3Bi structure.

Properties
Total magnetic moment   0.0 μB per formula unit

Geometry as POSCAR:
```
TaBe3Bi
1.0
4.579 0.000 0.000
0.000 4.579 0.000
0.000 0.000 4.579
Be Bi Ta
3 1 1
Cartesian
0.000 2.289 0.000
0.000 0.000 2.289
2.289 0.000 0.000
2.289 2.289 2.289
0.000 0.000 0.000
```


Entry Q
VASP calculation (PBE) on a geometry-optimized TaBe3Bi structure.

Properties
Total magnetic moment   0.0 μB per formula unit

Geometry as POSCAR:
```
TaBe3Bi
1.0
-0.392 -1.083 -4.415
4.172 -1.846 0.083
-1.805 -4.030 1.149
Be Bi Ta
3 1 1
Cartesian
2.086 -0.923 0.041
-0.903 -2.015 0.575
-0.196 -0.542 -2.207
0.000 0.000 0.000
0.987 -3.479 -1.592
```


Q: Which of them is the least stable? A: entry Q.


Entry P
VASP calculation (PBE) on a geometry-optimized BeTcBi3 structure.

Properties
Total magnetic moment   2.9 μB per formula unit

Geometry as POSCAR:
```
BeTcBi3
1.0
-3.668 -3.017 -1.694
2.518 -4.021 1.710
-2.373 0.398 4.431
Be Bi Tc
1 3 1
Cartesian
0.000 0.000 0.000
1.259 -2.011 0.855
-1.187 0.199 2.216
-1.834 -1.509 -0.847
-1.762 -3.320 2.224
```


Entry Q
VASP calculation (PBE) on a geometry-optimized BeTcBi3 structure.

Properties
Total magnetic moment   0.0 μB per formula unit

Geometry as POSCAR:
```
BeTcBi3
1.0
5.298 0.000 0.000
0.000 5.298 0.000
0.000 0.000 5.298
Be Bi Tc
1 3 1
Cartesian
2.649 2.649 2.649
0.000 2.649 0.000
0.000 0.000 2.649
2.649 0.000 0.000
0.000 0.000 0.000
```


Q: Which of them is the least stable? A: entry P.


Entry P
VASP calculation (PBE) on a geometry-optimized BeTc2Bi structure.

Properties
Total magnetic moment   0.0 μB per formula unit

Geometry as POSCAR:
```
BeTc2Bi
1.0
-3.085 -3.147 0.621
-4.149 0.626 -1.485
-1.504 -2.357 -3.463
Be Bi Tc
1 1 2
Cartesian
0.000 0.000 0.000
-4.369 -2.439 -2.164
-2.184 -1.219 -1.082
-6.553 -3.658 -3.246
```


Entry Q
VASP calculation (PBE) on a geometry-optimized BeTc2Bi structure.

Properties
Total magnetic moment   0.0 μB per formula unit

Geometry as POSCAR:
```
BeTc2Bi
1.0
-1.169 -3.854 0.071
3.791 -1.163 -0.707
2.853 -2.815 8.463
Be Bi Tc
2 2 4
Cartesian
1.311 -2.509 -0.318
3.978 -3.244 3.719
0.000 0.000 0.000
1.498 -4.589 4.108
0.565 -2.902 2.065
2.829 -2.269 1.689
3.474 -4.101 6.043
4.084 -6.394 5.856
```


Q: Which of them is the least stable? A: entry P.


Entry P
VASP calculation (PBE) on a geometry-optimized BeTc3Bi structure.

Properties
Total magnetic moment   6.0 μB per formula unit

Geometry as POSCAR:
```
BeTc3Bi
1.0
5.014 0.000 0.000
0.000 5.014 0.000
0.000 0.000 5.014
Be Bi Tc
1 1 3
Cartesian
2.507 2.507 2.507
0.000 0.000 0.000
0.000 2.507 0.000
0.000 0.000 2.507
2.507 0.000 0.000
```


Entry Q
VASP calculation (PBE) on a geometry-optimized BeTc3Bi structure.

Properties
Total magnetic moment   3.1 μB per formula unit

Geometry as POSCAR:
```
BeTc3Bi
1.0
-0.450 0.412 -4.260
-2.020 -3.797 -0.154
-3.773 1.984 0.590
Be Bi Tc
1 1 3
Cartesian
0.000 0.000 0.000
-3.122 -0.701 -1.912
-1.010 -1.898 -0.077
-1.887 0.992 0.295
-0.225 0.206 -2.130
```


Q: Which of them is the least stable? A: entry P.


Entry P
VASP calculation (PBE) on a geometry-optimized BeBi2Te structure.

Properties
Total magnetic moment   0.0 μB per formula unit

Geometry as POSCAR:
```
BeBi2Te
1.0
5.035 -1.250 -1.173
1.718 -4.993 0.638
1.072 -3.007 -4.254
Be Te Bi
1 1 2
Cartesian
0.000 0.000 0.000
3.913 -4.625 -2.395
1.956 -2.313 -1.197
5.869 -6.938 -3.592
```


Entry Q
VASP calculation (PBE) on a geometry-optimized BeBi2Te structure.

Properties
Total magnetic moment   0.0 μB per formula unit

Geometry as POSCAR:
```
BeBi2Te
1.0
6.487 0.000 0.000
0.000 6.487 0.000
3.244 3.244 6.350
Be Te Bi
2 2 4
Cartesian
3.244 3.244 0.000
3.244 6.487 3.175
0.000 0.000 0.000
6.487 3.244 3.175
4.321 1.622 1.588
2.166 4.865 1.588
4.865 5.410 4.763
8.109 7.564 4.763
```


Q: Which of them is the least stable? A: entry P.


Entry P
VASP calculation (PBE) on a geometry-optimized BeBiTe2 structure.

Properties
Total magnetic moment   0.0 μB per formula unit

Geometry as POSCAR:
```
BeBiTe2
1.0
2.993 0.000 7.150
-1.497 2.592 7.150
-1.497 -2.592 7.150
Be Te Bi
1 2 1
Cartesian
0.000 0.000 0.000
0.000 0.000 2.252
0.000 0.000 19.198
0.000 0.000 10.725
```


Entry Q
VASP calculation (PBE) on a geometry-optimized BeBiTe2 structure.

Properties
Total magnetic moment   0.0 μB per formula unit

Geometry as POSCAR:
```
BeBiTe2
1.0
2.671 -0.910 4.449
-2.439 0.356 4.656
-0.964 -4.352 2.808
Be Te Bi
1 2 1
Cartesian
0.000 0.000 0.000
-0.183 -1.226 2.978
-0.549 -3.679 8.934
-0.366 -2.453 5.956
```


Entry R
VASP calculation (PBE) on a geometry-optimized BeBiTe2 structure.

Properties
Total magnetic moment   0.0 μB per formula unit

Geometry as POSCAR:
```
BeBiTe2
1.0
2.294 0.000 7.498
-1.147 1.986 7.498
-1.147 -1.986 7.498
Be Te Bi
1 2 1
Cartesian
0.000 0.000 11.246
0.000 0.000 17.336
0.000 0.000 5.156
0.000 0.000 0.000
```


Q: Which of them is the least stable? A: entry Q.


Entry P
VASP calculation (PBE) on a geometry-optimized BeBi2TeW structure.

Properties
Total magnetic moment   0.0 μB per formula unit

Geometry as POSCAR:
```
BeBi2TeW
1.0
-4.318 3.372 0.366
-2.337 -2.579 -3.819
-2.310 -3.357 3.680
Be Te Bi W
1 1 2 1
Cartesian
-4.482 -1.282 0.114
-1.168 -1.289 -1.909
-1.155 -1.679 1.840
-2.159 1.686 0.183
0.000 0.000 0.000
```


Entry Q
VASP calculation (PBE) on a geometry-optimized BeBi2TeW structure.

Properties
Total magnetic moment   2.8 μB per formula unit

Geometry as POSCAR:
```
BeBi2TeW
1.0
5.164 0.000 0.000
0.000 4.641 0.000
0.000 0.000 5.164
Be Te Bi W
1 1 2 1
Cartesian
0.000 0.000 0.000
2.582 2.321 2.582
0.000 0.000 2.582
2.582 0.000 0.000
0.000 2.321 0.000
```


Q: Which of them is the least stable? A: entry P.


Entry P
VASP calculation (PBE) on a geometry-optimized Ti6BeBi2 structure.

Properties
Total magnetic moment   0.0 μB per formula unit

Geometry as POSCAR:
```
Ti6BeBi2
1.0
4.639 0.000 0.000
0.000 4.639 0.000
0.000 0.000 17.515
Ti Be Bi
12 2 4
Cartesian
1.225 1.225 6.920
3.414 3.414 6.920
1.095 3.544 15.677
3.544 1.095 15.677
1.095 3.544 1.838
3.544 1.095 1.838
1.225 1.225 10.596
3.414 3.414 10.596
1.474 1.474 0.000
3.165 3.165 0.000
0.845 3.794 8.758
3.794 0.845 8.758
0.000 0.000 0.000
2.320 2.320 8.758
0.000 0.000 4.450
2.320 2.320 13.207
2.320 2.320 4.308
0.000 0.000 13.066
```


Entry Q
VASP calculation (PBE) on a geometry-optimized Ti6BeBi2 structure.

Properties
Total magnetic moment   0.0 μB per formula unit

Geometry as POSCAR:
```
Ti6BeBi2
1.0
-1.059 -1.822 -2.970
6.562 -3.044 -0.473
-5.227 -3.233 3.847
Ti Be Bi
6 1 2
Cartesian
3.616 -2.834 -1.784
-0.038 -3.221 -0.243
-3.832 -2.955 0.946
1.452 -0.673 -0.105
1.040 -4.889 2.628
5.406 -3.759 0.377
-0.529 -0.911 -1.485
-1.296 -3.170 2.407
2.633 -3.108 0.967
```


Q: Which of them is the least stable? A: entry P.